VASP calculation (PBE) on crystalline Th6TlAu2 at its relaxed geometry.

- space-group type = C2/m (12)
- formation enthalpy at 0 K (eV per formula unit) = -1.88
- raw total energy (eV per atom) = -6.146

Cell: 5.6453 6.6852 9.6608 Å, 122.93 90.00 114.98°
Element x y z (fractional)
Th: 0.3339 0.6677 0.8180
Th: 0.3108 0.6215 0.4466
Th: 0.6892 0.3785 0.5534
Th: 0.6661 0.3323 0.1820
Th: 0.0685 0.1371 0.8892
Th: 0.9315 0.8629 0.1108
Tl: 0.0000 0.0000 0.5000
Au: 0.6116 0.2232 0.8055
Au: 0.3884 0.7768 0.1945